Entry 1:
This record from the Alexandria database describes PmHo2AlO after structural relaxation. The functional is PBE-GGA.

Output
DOS at the Fermi energy in states/eV/atom: 0.394
Size of the total moment in μB per formula unit: 0.0
Density in g/cm3: 7.95
Formation energy from raw total energies in meV per atom: -1354

CIF file:
```
data_PmHo2AlO
_cell_length_a 4.696
_cell_length_b 4.696
_cell_length_c 4.903
_cell_angle_alpha 90.00
_cell_angle_beta 90.00
_cell_angle_gamma 90.00
_space_group_name_H-M_alt 'P 1'
_space_group_IT_number 1
loop_
_space_group_symop_operation_xyz
'x,y,z'
loop_
_atom_site_label
_atom_site_fract_x
_atom_site_fract_y
_atom_site_fract_z
_atom_site_occupancy
Pm1 0.000 0.000 0.000 1
Ho1 0.000 0.500 0.500 1
Ho2 0.500 0.000 0.500 1
Al1 0.500 0.500 0.000 1
O1 0.000 0.000 0.500 1
```

Entry 2:
This record from the Alexandria database describes Pr2HoAlO6 after structural relaxation. The functional is PBE-GGA.

Output
DOS at the Fermi energy in states/eV/atom: 0.000
Size of the total moment in μB per formula unit: 0.0
Density in g/cm3: 7.22
Formation energy from raw total energies in meV per atom: -3283

CIF file:
```
data_Pr2HoAlO6
_cell_length_a 5.614
_cell_length_b 5.783
_cell_length_c 9.777
_cell_angle_alpha 90.00
_cell_angle_beta 124.30
_cell_angle_gamma 90.00
_space_group_name_H-M_alt 'P 1'
_space_group_IT_number 1
loop_
_space_group_symop_operation_xyz
'x,y,z'
loop_
_atom_site_label
_atom_site_fract_x
_atom_site_fract_y
_atom_site_fract_z
_atom_site_occupancy
Pr1 0.234 0.050 0.250 1
Pr2 0.234 0.450 0.750 1
Pr3 0.766 0.550 0.250 1
Pr4 0.766 0.950 0.750 1
Ho1 0.500 0.000 0.000 1
Ho2 0.500 0.500 0.500 1
Al1 0.000 0.000 0.500 1
Al2 0.000 0.500 0.000 1
O1 0.130 0.221 0.943 1
O2 0.130 0.279 0.443 1
O3 0.224 0.690 0.948 1
O4 0.224 0.810 0.448 1
O5 0.333 0.034 0.732 1
O6 0.333 0.466 0.232 1
O7 0.667 0.534 0.768 1
O8 0.667 0.966 0.268 1
O9 0.776 0.190 0.552 1
O10 0.776 0.310 0.052 1
O11 0.870 0.721 0.557 1
O12 0.870 0.779 0.057 1
```

Entry 3:
This record from the Alexandria database describes HoPuAl2O8 after structural relaxation. The functional is PBE-GGA.

Output
DOS at the Fermi energy in states/eV/atom: 0.465
Size of the total moment in μB per formula unit: 1.0
Density in g/cm3: 6.50
Formation energy from raw total energies in meV per atom: -2635

CIF file:
```
data_HoPuAl2O8
_cell_length_a 5.814
_cell_length_b 5.814
_cell_length_c 5.814
_cell_angle_alpha 107.79
_cell_angle_beta 107.79
_cell_angle_gamma 112.90
_space_group_name_H-M_alt 'P 1'
_space_group_IT_number 1
loop_
_space_group_symop_operation_xyz
'x,y,z'
loop_
_atom_site_label
_atom_site_fract_x
_atom_site_fract_y
_atom_site_fract_z
_atom_site_occupancy
Ho1 0.000 0.000 0.000 1
Pu1 0.250 0.750 0.500 1
Al1 0.500 0.500 0.000 1
Al2 0.750 0.250 0.500 1
O1 0.318 0.122 0.804 1
O2 0.318 0.514 0.196 1
O3 0.376 0.056 0.320 1
O4 0.486 0.682 0.804 1
O5 0.736 0.056 0.680 1
O6 0.878 0.682 0.196 1
O7 0.944 0.264 0.320 1
O8 0.944 0.624 0.680 1
```

Entry 4:
This record from the Alexandria database describes HoPuAlO6 after structural relaxation. The functional is PBE-GGA.

Output
DOS at the Fermi energy in states/eV/atom: 0.835
Size of the total moment in μB per formula unit: 2.0
Density in g/cm3: 7.65
Formation energy from raw total energies in meV per atom: -2899

CIF file:
```
data_HoPuAlO6
_cell_length_a 5.232
_cell_length_b 5.232
_cell_length_c 9.746
_cell_angle_alpha 90.00
_cell_angle_beta 90.00
_cell_angle_gamma 120.00
_space_group_name_H-M_alt 'P 1'
_space_group_IT_number 1
loop_
_space_group_symop_operation_xyz
'x,y,z'
loop_
_atom_site_label
_atom_site_fract_x
_atom_site_fract_y
_atom_site_fract_z
_atom_site_occupancy
Ho1 0.000 0.000 0.000 1
Ho2 0.000 0.000 0.500 1
Pu1 0.333 0.667 0.250 1
Pu2 0.667 0.333 0.750 1
Al1 0.333 0.667 0.750 1
Al2 0.667 0.333 0.250 1
O1 0.020 0.364 0.640 1
O2 0.020 0.656 0.860 1
O3 0.344 0.364 0.860 1
O4 0.344 0.980 0.640 1
O5 0.364 0.020 0.140 1
O6 0.364 0.344 0.360 1
O7 0.636 0.656 0.640 1
O8 0.636 0.980 0.860 1
O9 0.656 0.020 0.360 1
O10 0.656 0.636 0.140 1
O11 0.980 0.344 0.140 1
O12 0.980 0.636 0.360 1
```

Entry 5:
This record from the Alexandria database describes Rb4Ho3AlO8 after structural relaxation. The functional is PBE-GGA.

Output
DOS at the Fermi energy in states/eV/atom: 0.000
Size of the total moment in μB per formula unit: 0.0
Density in g/cm3: 6.36
Formation energy from raw total energies in meV per atom: -2502

CIF file:
```
data_Rb4Ho3AlO8
_cell_length_a 7.596
_cell_length_b 7.596
_cell_length_c 7.596
_cell_angle_alpha 52.97
_cell_angle_beta 52.97
_cell_angle_gamma 52.97
_space_group_name_H-M_alt 'P 1'
_space_group_IT_number 1
loop_
_space_group_symop_operation_xyz
'x,y,z'
loop_
_atom_site_label
_atom_site_fract_x
_atom_site_fract_y
_atom_site_fract_z
_atom_site_occupancy
Rb1 0.000 0.000 0.000 1
Rb2 0.000 0.500 0.500 1
Rb3 0.500 0.000 0.500 1
Rb4 0.500 0.500 0.000 1
Ho1 0.000 0.000 0.500 1
Ho2 0.000 0.500 0.000 1
Ho3 0.500 0.000 0.000 1
Al1 0.500 0.500 0.500 1
O1 0.225 0.225 0.225 1
O2 0.249 0.709 0.709 1
O3 0.291 0.291 0.751 1
O4 0.291 0.751 0.291 1
O5 0.709 0.249 0.709 1
O6 0.709 0.709 0.249 1
O7 0.751 0.291 0.291 1
O8 0.775 0.775 0.775 1
```

Entry 6:
This record from the Alexandria database describes HoAlRhO4 after structural relaxation. The functional is PBE-GGA.

Output
DOS at the Fermi energy in states/eV/atom: 0.360
Size of the total moment in μB per formula unit: 1.0
Density in g/cm3: 6.72
Formation energy from raw total energies in meV per atom: -2211

CIF file:
```
data_HoAlRhO4
_cell_length_a 5.209
_cell_length_b 5.209
_cell_length_c 7.009
_cell_angle_alpha 90.00
_cell_angle_beta 90.00
_cell_angle_gamma 111.23
_space_group_name_H-M_alt 'P 1'
_space_group_IT_number 1
loop_
_space_group_symop_operation_xyz
'x,y,z'
loop_
_atom_site_label
_atom_site_fract_x
_atom_site_fract_y
_atom_site_fract_z
_atom_site_occupancy
Ho1 0.000 0.000 0.000 1
Ho2 0.000 0.000 0.500 1
Al1 0.371 0.629 0.750 1
Al2 0.629 0.371 0.250 1
Rh1 0.288 0.712 0.250 1
Rh2 0.712 0.288 0.750 1
O1 0.244 0.260 0.750 1
O2 0.260 0.244 0.250 1
O3 0.261 0.739 0.537 1
O4 0.261 0.739 0.963 1
O5 0.739 0.261 0.037 1
O6 0.739 0.261 0.463 1
O7 0.740 0.756 0.750 1
O8 0.756 0.740 0.250 1
```

Entry 7:
This record from the Alexandria database describes HoAl2SbO8 after structural relaxation. The functional is PBE-GGA.

Output
DOS at the Fermi energy in states/eV/atom: 0.782
Size of the total moment in μB per formula unit: 2.0
Density in g/cm3: 5.33
Formation energy from raw total energies in meV per atom: -2062

CIF file:
```
data_HoAl2SbO8
_cell_length_a 5.749
_cell_length_b 5.749
_cell_length_c 5.749
_cell_angle_alpha 108.36
_cell_angle_beta 108.36
_cell_angle_gamma 111.72
_space_group_name_H-M_alt 'P 1'
_space_group_IT_number 1
loop_
_space_group_symop_operation_xyz
'x,y,z'
loop_
_atom_site_label
_atom_site_fract_x
_atom_site_fract_y
_atom_site_fract_z
_atom_site_occupancy
Ho1 0.000 0.000 0.000 1
Al1 0.250 0.750 0.500 1
Al2 0.500 0.500 0.000 1
Sb1 0.750 0.250 0.500 1
O1 0.050 0.374 0.324 1
O2 0.050 0.726 0.676 1
O3 0.118 0.317 0.801 1
O4 0.274 0.950 0.324 1
O5 0.516 0.317 0.199 1
O6 0.626 0.950 0.676 1
O7 0.683 0.484 0.801 1
O8 0.683 0.882 0.199 1
```

Entry 8:
This record from the Alexandria database describes Ho2ScAlO after structural relaxation. The functional is PBE-GGA.

Output
DOS at the Fermi energy in states/eV/atom: 0.632
Size of the total moment in μB per formula unit: 0.0
Density in g/cm3: 7.10
Formation energy from raw total energies in meV per atom: -1390

CIF file:
```
data_Ho2ScAlO
_cell_length_a 4.716
_cell_length_b 4.716
_cell_length_c 4.392
_cell_angle_alpha 90.00
_cell_angle_beta 90.00
_cell_angle_gamma 90.00
_space_group_name_H-M_alt 'P 1'
_space_group_IT_number 1
loop_
_space_group_symop_operation_xyz
'x,y,z'
loop_
_atom_site_label
_atom_site_fract_x
_atom_site_fract_y
_atom_site_fract_z
_atom_site_occupancy
Ho1 0.000 0.500 0.000 1
Ho2 0.500 0.000 0.000 1
Sc1 0.000 0.000 0.500 1
Al1 0.500 0.500 0.500 1
O1 0.000 0.000 0.000 1
```

Entry 9:
This record from the Alexandria database describes Ho3Sc2Al3O12 after structural relaxation. The functional is PBE-GGA.

Output
DOS at the Fermi energy in states/eV/atom: 0.000
Size of the total moment in μB per formula unit: 0.0
Density in g/cm3: 5.98
Formation energy from raw total energies in meV per atom: -3409

CIF file:
```
data_Ho3Sc2Al3O12
_cell_length_a 10.735
_cell_length_b 10.735
_cell_length_c 10.735
_cell_angle_alpha 109.47
_cell_angle_beta 109.47
_cell_angle_gamma 109.47
_space_group_name_H-M_alt 'P 1'
_space_group_IT_number 1
loop_
_space_group_symop_operation_xyz
'x,y,z'
loop_
_atom_site_label
_atom_site_fract_x
_atom_site_fract_y
_atom_site_fract_z
_atom_site_occupancy
Ho1 0.125 0.250 0.375 1
Ho2 0.125 0.375 0.750 1
Ho3 0.250 0.375 0.125 1
Ho4 0.250 0.875 0.625 1
Ho5 0.375 0.125 0.250 1
Ho6 0.375 0.750 0.125 1
Ho7 0.625 0.250 0.875 1
Ho8 0.625 0.875 0.750 1
Ho9 0.750 0.125 0.375 1
Ho10 0.750 0.625 0.875 1
Ho11 0.875 0.625 0.250 1
Ho12 0.875 0.750 0.625 1
Sc1 0.000 0.000 0.000 1
Sc2 0.000 0.000 0.500 1
Sc3 0.000 0.500 0.000 1
Sc4 0.000 0.500 0.500 1
Sc5 0.500 0.000 0.000 1
Sc6 0.500 0.000 0.500 1
Sc7 0.500 0.500 0.000 1
Sc8 0.500 0.500 0.500 1
Al1 0.125 0.750 0.875 1
Al2 0.125 0.875 0.250 1
Al3 0.250 0.125 0.875 1
Al4 0.250 0.625 0.375 1
Al5 0.375 0.250 0.625 1
Al6 0.375 0.625 0.750 1
Al7 0.625 0.375 0.250 1
Al8 0.625 0.750 0.375 1
Al9 0.750 0.375 0.625 1
Al10 0.750 0.875 0.125 1
Al11 0.875 0.125 0.750 1
Al12 0.875 0.250 0.125 1
O1 0.026 0.214 0.126 1
O2 0.026 0.312 0.900 1
O3 0.088 0.714 0.688 1
O4 0.088 0.874 0.400 1
O5 0.100 0.626 0.412 1
O6 0.100 0.974 0.688 1
O7 0.126 0.026 0.214 1
O8 0.126 0.600 0.912 1
O9 0.188 0.214 0.588 1
O10 0.188 0.474 0.600 1
O11 0.214 0.126 0.026 1
O12 0.214 0.588 0.188 1
O13 0.286 0.312 0.912 1
O14 0.286 0.474 0.374 1
O15 0.312 0.900 0.026 1
O16 0.312 0.912 0.286 1
O17 0.374 0.286 0.474 1
O18 0.374 0.588 0.900 1
O19 0.400 0.088 0.874 1
O20 0.400 0.812 0.526 1
O21 0.412 0.100 0.626 1
O22 0.412 0.812 0.786 1
O23 0.474 0.374 0.286 1
O24 0.474 0.600 0.188 1
O25 0.526 0.400 0.812 1
O26 0.526 0.626 0.714 1
O27 0.588 0.188 0.214 1
O28 0.588 0.900 0.374 1
O29 0.600 0.188 0.474 1
O30 0.600 0.912 0.126 1
O31 0.626 0.412 0.100 1
O32 0.626 0.714 0.526 1
O33 0.688 0.088 0.714 1
O34 0.688 0.100 0.974 1
O35 0.714 0.526 0.626 1
O36 0.714 0.688 0.088 1
O37 0.786 0.412 0.812 1
O38 0.786 0.874 0.974 1
O39 0.812 0.526 0.400 1
O40 0.812 0.786 0.412 1
O41 0.874 0.400 0.088 1
O42 0.874 0.974 0.786 1
O43 0.900 0.026 0.312 1
O44 0.900 0.374 0.588 1
O45 0.912 0.126 0.600 1
O46 0.912 0.286 0.312 1
O47 0.974 0.688 0.100 1
O48 0.974 0.786 0.874 1
```

Entry 10:
This record from the Alexandria database describes SmHo2AlO after structural relaxation. The functional is PBE-GGA.

Output
DOS at the Fermi energy in states/eV/atom: 0.379
Size of the total moment in μB per formula unit: 0.0
Density in g/cm3: 8.09
Formation energy from raw total energies in meV per atom: -1357

CIF file:
```
data_SmHo2AlO
_cell_length_a 4.693
_cell_length_b 4.693
_cell_length_c 4.874
_cell_angle_alpha 90.00
_cell_angle_beta 90.00
_cell_angle_gamma 90.00
_space_group_name_H-M_alt 'P 1'
_space_group_IT_number 1
loop_
_space_group_symop_operation_xyz
'x,y,z'
loop_
_atom_site_label
_atom_site_fract_x
_atom_site_fract_y
_atom_site_fract_z
_atom_site_occupancy
Sm1 0.000 0.000 0.000 1
Ho1 0.000 0.500 0.500 1
Ho2 0.500 0.000 0.500 1
Al1 0.500 0.500 0.000 1
O1 0.000 0.000 0.500 1
```

Entry 11:
This record from the Alexandria database describes Sr3HoAl2O8 after structural relaxation. The functional is PBE-GGA.

Output
DOS at the Fermi energy in states/eV/atom: 0.773
Size of the total moment in μB per formula unit: 1.0
Density in g/cm3: 4.78
Formation energy from raw total energies in meV per atom: -2862

CIF file:
```
data_Sr3HoAl2O8
_cell_length_a 5.820
_cell_length_b 5.820
_cell_length_c 7.222
_cell_angle_alpha 90.00
_cell_angle_beta 90.00
_cell_angle_gamma 120.00
_space_group_name_H-M_alt 'P 1'
_space_group_IT_number 1
loop_
_space_group_symop_operation_xyz
'x,y,z'
loop_
_atom_site_label
_atom_site_fract_x
_atom_site_fract_y
_atom_site_fract_z
_atom_site_occupancy
Sr1 0.000 0.000 0.000 1
Sr2 0.333 0.667 0.652 1
Sr3 0.667 0.333 0.348 1
Ho1 0.000 0.000 0.500 1
Al1 0.333 0.667 0.212 1
Al2 0.667 0.333 0.788 1
O1 0.173 0.345 0.311 1
O2 0.173 0.827 0.311 1
O3 0.333 0.667 0.971 1
O4 0.345 0.173 0.689 1
O5 0.655 0.827 0.311 1
O6 0.667 0.333 0.029 1
O7 0.827 0.173 0.689 1
O8 0.827 0.655 0.689 1
```

Entry 12:
This record from the Alexandria database describes SrHo2Al2O7 after structural relaxation. The functional is PBE-GGA.

Output
DOS at the Fermi energy in states/eV/atom: 0.000
Size of the total moment in μB per formula unit: 0.0
Density in g/cm3: 7.15
Formation energy from raw total energies in meV per atom: -3246

CIF file:
```
data_SrHo2Al2O7
_cell_length_a 10.110
_cell_length_b 10.110
_cell_length_c 10.110
_cell_angle_alpha 158.76
_cell_angle_beta 158.76
_cell_angle_gamma 30.21
_space_group_name_H-M_alt 'P 1'
_space_group_IT_number 1
loop_
_space_group_symop_operation_xyz
'x,y,z'
loop_
_atom_site_label
_atom_site_fract_x
_atom_site_fract_y
_atom_site_fract_z
_atom_site_occupancy
Sr1 0.000 0.000 0.000 1
Ho1 0.182 0.182 0.000 1
Ho2 0.818 0.818 0.000 1
Al1 0.403 0.403 0.000 1
Al2 0.597 0.597 0.000 1
O1 0.107 0.607 0.500 1
O2 0.295 0.295 0.000 1
O3 0.393 0.893 0.500 1
O4 0.500 0.500 0.000 1
O5 0.607 0.107 0.500 1
O6 0.705 0.705 0.000 1
O7 0.893 0.393 0.500 1
```